P2W5O19 | Alexandria via LeMat-Bulk | GGA+U | optimized geometry; distance to the lowest polymorph of the same formula = 0 meV per atom; calculated density = 5.6 g/cm3; VASP energy = -389.9 eV per cell
1.0
6.731 0.000 0.000
0.000 5.401 0.000
-2.195 0.000 20.944
P W O
4 10 38
Direct
0.214 0.000 0.235 P
0.251 0.015 0.660 P
0.749 0.515 0.340 P
0.786 0.500 0.765 P
0.106 0.003 0.815 W
0.148 0.509 0.460 W
0.179 0.503 0.036 W
0.466 0.006 0.391 W
0.468 0.502 0.888 W
0.532 0.002 0.112 W
0.534 0.506 0.609 W
0.821 0.003 0.964 W
0.852 0.009 0.540 W
0.894 0.503 0.185 W
0.010 0.767 0.002 O
0.014 0.766 0.496 O
0.032 0.506 0.113 O
0.048 0.006 0.621 O
0.077 0.227 0.221 O
0.093 0.757 0.226 O
0.219 0.993 0.731 O
0.277 0.263 0.843 O
0.291 0.237 0.423 O
0.293 0.765 0.847 O
0.305 0.017 0.305 O
0.319 0.743 0.415 O
0.321 0.502 0.960 O
0.350 0.241 0.075 O
0.354 0.266 0.651 O
0.356 0.505 0.536 O
0.369 0.739 0.078 O
0.383 0.797 0.644 O
0.384 0.001 0.191 O
0.616 0.501 0.809 O
0.617 0.297 0.356 O
0.631 0.239 0.922 O
0.644 0.005 0.464 O
0.646 0.766 0.349 O
0.650 0.741 0.925 O
0.679 0.002 0.040 O
0.681 0.243 0.585 O
0.695 0.517 0.695 O
0.707 0.265 0.153 O
0.709 0.737 0.577 O
0.723 0.763 0.157 O
0.781 0.493 0.269 O
0.907 0.257 0.774 O
0.923 0.727 0.779 O
0.952 0.506 0.379 O
0.968 0.006 0.887 O
0.986 0.266 0.504 O
0.990 0.267 0.998 O